# Ta6TiGa5

A geometry-optimized Ta6TiGa5 structure (PBE, Alexandria).

Unit cell a=4.350 b=8.561 c=10.855 alpha=90.00 beta=90.00 gamma=90.00
Space group Immm (No. 71)
Inequivalent atoms, fractional coordinates:
Ta 0.000 0.238 0.000 [4 per cell]
Ta 0.000 0.255 0.334 [8 per cell]
Ti 0.000 0.000 0.500 [2 per cell]
Ga 0.000 0.000 0.177 [4 per cell]
Ga 0.000 0.500 0.157 [4 per cell]
Ga 0.000 0.500 0.500 [2 per cell]

## Properties
Size of the total moment ... 0.000 μB/f.u.
Energy of formation from the pure elements ... -144 meV/atom
DFT total energy ... -191.756 eV for the cell shown
DOS at the Fermi energy ... 13.18 states/eV per cell